#A
A plane-wave DFT calculation with PBE was carried out for a geometry-optimized BaTaMo structure.

abc: 8.4017 8.1685 3.1289
angles: 83.34 74.95 21.71
Fractional positions:
Mo: 0.3105 0.3105 0.6895
Ba: 0.9953 0.9953 0.0047
Ta: 0.6941 0.6941 0.3059

Output
Total magnetic moment: 0.0 μB per cell

#B
A plane-wave DFT calculation with PBE was carried out for a geometry-optimized BaTaMo structure.

abc: 4.9319 4.9319 3.2115
angles: 90.00 90.00 120.00
Fractional positions:
Ta: 0.3333 0.6667 0.6101
Mo: 0.6667 0.3333 0.3713
Ba: 0.0000 0.0000 0.0186

Output
Total magnetic moment: 0.0 μB per cell

#C
A plane-wave DFT calculation with PBE was carried out for a geometry-optimized BaTaMo structure.

abc: 6.9818 6.9818 6.9818
angles: 151.45 151.45 40.82
Fractional positions:
Ta: 0.7120 0.7120 0.0000
Ba: 0.9934 0.9934 0.0000
Mo: 0.2946 0.2946 0.0000

Output
Total magnetic moment: 0.0 μB per cell

It comes down to #C, which is 0.132 eV/atom more stable than the next structure.

#A
A plane-wave DFT calculation with PBE was carried out for a geometry-optimized BaTcMo3 structure.

abc: 4.9118 4.9118 4.9118
angles: 90.00 90.00 90.00
Fractional positions:
Mo: 0.5000 0.0000 0.0000
Mo: 0.0000 0.5000 0.0000
Mo: 0.0000 0.0000 0.5000
Ba: 0.5000 0.5000 0.5000
Tc: 0.0000 0.0000 0.0000

Output
Total magnetic moment: 3.5 μB per cell

#B
A plane-wave DFT calculation with PBE was carried out for a geometry-optimized BaTcMo3 structure.

abc: 4.8542 4.8542 4.8542
angles: 90.00 90.00 90.00
Fractional positions:
Mo: 0.0000 0.0000 0.5000
Mo: 0.0000 0.5000 0.0000
Ba: 0.0000 0.0000 0.0000
Mo: 0.5000 0.0000 0.0000
Tc: 0.5000 0.5000 0.5000

Output
Total magnetic moment: 0.0 μB per cell

It comes down to #A, which is 2.113 eV/atom more stable than the next structure.

#A
A plane-wave DFT calculation with PBE was carried out for a geometry-optimized Ba2TcMo structure.

abc: 9.7410 9.7410 9.7410
angles: 25.10 25.10 25.10
Fractional positions:
Ba: 0.0351 0.0351 0.0351
Tc: 0.7890 0.7890 0.7890
Ba: 0.2152 0.2152 0.2152
Mo: 0.4606 0.4606 0.4606

Output
Total magnetic moment: 0.0 μB per cell

#B
A plane-wave DFT calculation with PBE was carried out for a geometry-optimized Ba2TcMo structure.

abc: 5.2371 5.2371 5.2371
angles: 119.78 119.78 90.37
Fractional positions:
Mo: 0.5000 0.5000 0.0000
Ba: 0.0000 0.0000 0.0000
Tc: 0.7500 0.2500 0.5000
Ba: 0.2500 0.7500 0.5000

Output
Total magnetic moment: 0.0 μB per cell

It comes down to #A, which is 0.972 eV/atom more stable than the next structure.

#A
A plane-wave DFT calculation with PBE was carried out for a geometry-optimized Ba2TcMo structure.

abc: 5.5632 3.0422 6.7775
angles: 63.36 90.00 90.00
Fractional positions:
Mo: 0.5000 0.2500 0.2500
Ba: 0.0000 0.4989 0.5010
Tc: 0.5000 0.7500 0.7500
Ba: 0.0000 0.0011 0.9990

Output
Total magnetic moment: 0.0 μB per cell

#B
A plane-wave DFT calculation with PBE was carried out for a geometry-optimized Ba2TcMo structure.

abc: 3.5289 3.5289 10.0669
angles: 90.00 90.00 90.00
Fractional positions:
Ba: 0.0000 0.0000 0.9223
Tc: 0.5000 0.5000 0.6549
Ba: 0.5000 0.5000 0.3267
Mo: 0.0000 0.0000 0.5961

Output
Total magnetic moment: 0.5 μB per cell

#C
A plane-wave DFT calculation with PBE was carried out for a geometry-optimized Ba2TcMo structure.

abc: 3.6239 4.4980 7.2947
angles: 90.00 90.00 90.00
Fractional positions:
Ba: 0.0000 0.0000 0.5055
Mo: 0.5000 0.5000 0.2500
Ba: 0.0000 0.0000 0.9945
Tc: 0.5000 0.5000 0.7500

Output
Total magnetic moment: 5.5 μB per cell

#D
A plane-wave DFT calculation with PBE was carried out for a geometry-optimized Ba2TcMo structure.

abc: 12.2912 12.2912 8.9920
angles: 46.89 46.89 90.00
Fractional positions:
Ba: 0.8750 0.0556 0.7500
Tc: 0.7500 0.2500 0.5000
Ba: 0.3750 0.1944 0.7500
Tc: 0.0000 0.0000 0.0000
Ba: 0.9444 0.6250 0.2500
Mo: 0.2500 0.7500 0.5000
Ba: 0.8056 0.1250 0.2500
Mo: 0.5000 0.5000 0.0000

Output
Total magnetic moment: 3.6 μB per cell

It comes down to #B, which is 0.458 eV/atom more stable than the next structure.

#A
A plane-wave DFT calculation with PBE was carried out for a geometry-optimized Ba2TcMo structure.

abc: 5.8005 5.8005 5.8005
angles: 128.00 128.00 76.62
Fractional positions:
Ba: 0.5000 0.5000 0.0000
Tc: 0.7500 0.2500 0.5000
Mo: 0.2500 0.7500 0.5000
Ba: 0.0000 0.0000 0.0000

Output
Total magnetic moment: 5.3 μB per cell

#B
A plane-wave DFT calculation with PBE was carried out for a geometry-optimized Ba2TcMo structure.

abc: 5.4862 5.4862 5.4862
angles: 60.00 60.00 60.00
Fractional positions:
Tc: 0.5000 0.5000 0.5000
Ba: 0.7500 0.7500 0.7500
Mo: 0.0000 0.0000 0.0000
Ba: 0.2500 0.2500 0.2500

Output
Total magnetic moment: 4.9 μB per cell

#C
A plane-wave DFT calculation with PBE was carried out for a geometry-optimized Ba2TcMo structure.

abc: 3.4178 3.3679 10.2536
angles: 80.64 90.00 90.00
Fractional positions:
Ba: 0.5000 0.0267 0.3194
Tc: 0.5000 0.8475 0.6790
Ba: 0.0000 0.2258 0.9263
Mo: 0.0000 0.4001 0.5753

Output
Total magnetic moment: 0.3 μB per cell

#D
A plane-wave DFT calculation with PBE was carried out for a geometry-optimized Ba2TcMo structure.

abc: 6.6534 6.6534 5.8006
angles: 64.19 64.19 32.93
Fractional positions:
Mo: 0.4337 0.4337 0.5666
Ba: 0.2329 0.2329 0.2670
Tc: 0.8095 0.8095 0.6900
Ba: 0.0238 0.0238 0.9764

Output
Total magnetic moment: 0.0 μB per cell

It comes down to #C, which is 0.066 eV/atom more stable than the next structure.

#A
A plane-wave DFT calculation with PBE was carried out for a geometry-optimized Ba2TcMo structure.

abc: 5.7893 5.7893 3.6379
angles: 90.00 90.00 103.07
Fractional positions:
Tc: 0.0000 0.5000 0.5000
Mo: 0.5000 0.0000 0.5000
Ba: 0.0000 0.0000 0.0000
Ba: 0.5000 0.5000 0.0000

Output
Total magnetic moment: 5.5 μB per cell

#B
A plane-wave DFT calculation with PBE was carried out for a geometry-optimized Ba2TcMo structure.

abc: 10.0063 10.0063 10.0063
angles: 159.44 158.43 29.97
Fractional positions:
Ba: 0.3949 0.3949 0.0000
Mo: 0.7500 0.2500 0.5000
Tc: 0.2500 0.7500 0.5000
Ba: 0.1051 0.1051 0.0000

Output
Total magnetic moment: 0.5 μB per cell

#C
A plane-wave DFT calculation with PBE was carried out for a geometry-optimized Ba2TcMo structure.

abc: 4.2942 4.2947 5.5501
angles: 90.00 90.00 90.00
Fractional positions:
Ba: 0.0000 0.0000 0.0000
Mo: 0.5000 0.0000 0.5000
Ba: 0.5000 0.5000 0.0000
Tc: 0.0000 0.5000 0.5000

Output
Total magnetic moment: 0.0 μB per cell

#D
A plane-wave DFT calculation with PBE was carried out for a geometry-optimized Ba2TcMo structure.

abc: 10.5633 10.5633 10.5633
angles: 19.10 19.10 19.10
Fractional positions:
Tc: 0.7500 0.7500 0.7500
Ba: 0.0016 0.0016 0.0016
Ba: 0.4984 0.4984 0.4984
Mo: 0.2500 0.2500 0.2500

Output
Total magnetic moment: 4.3 μB per cell

It comes down to #B, which is 0.818 eV/atom more stable than the next structure.